First-principles (PBE+U) data for FePtN2O after structural relaxation, as listed in Alexandria.

As for the density of states at the Fermi level: 0.75 states/eV/atom. As for the total energy: -27.64 eV per cell.

```
data_FePtN2O
_chemical_formula_sum 'Fe1 Pt1 N2 O1'
_symmetry_space_group_name_H-M 'P 1'
_symmetry_Int_Tables_number 1
_cell_length_a 3.824
_cell_length_b 3.824
_cell_length_c 4.327
_cell_angle_alpha 90.00
_cell_angle_beta 90.00
_cell_angle_gamma 90.00
loop_
_symmetry_equiv_pos_as_xyz
'x,y,z'
loop_
_atom_site_label
_atom_site_type_symbol
_atom_site_fract_x
_atom_site_fract_y
_atom_site_fract_z
_atom_site_occupancy
O1 O 0.000 0.000 0.500 1
Fe1 Fe 0.500 0.500 0.500 1
Pt1 Pt 0.000 0.000 0.000 1
N1 N 0.000 0.500 0.000 1
N2 N 0.500 0.000 0.000 1
```